(1)
Entry from Alexandria via LeMat-Bulk: a geometry-optimized Pm2RhPbO5 structure (GGA-PBE).

Properties
formation energy (no corrections) = -2.13 eV per atom
SG = P4/mbm, No. 127

extended XYZ file:
```
18
Lattice="5.867 0.000 0.000 0.000 6.747 0.000 0.000 0.000 6.747" Properties=species:S:1:pos:R:3 pbc="T T T"
Pm 2.934 4.545 1.172
Pm 2.934 1.172 2.201
Pm 2.934 5.574 4.545
Pm 2.934 2.201 5.574
O 4.376 0.942 4.315
O 1.491 0.942 4.315
O 2.934 0.000 0.000
O 1.491 2.431 0.942
O 1.491 4.315 5.804
O 1.491 5.804 2.431
O 4.376 2.431 0.942
O 2.934 3.373 3.373
O 4.376 5.804 2.431
O 4.376 4.315 5.804
Pb 0.000 0.000 0.000
Pb 0.000 3.373 3.373
Rh 0.000 0.000 3.373
Rh 0.000 3.373 0.000
```



(2)
Entry from Alexandria via LeMat-Bulk: a geometry-optimized Hg2Pd2Pb structure (GGA-PBE).

Properties
ΔE to the lowest computed polymorph = 0.000 eV/atom
SG = P4/mbm, No. 127

extended XYZ file:
```
10
Lattice="-1.291 -4.930 -5.710 2.094 -5.800 4.534 -3.333 -0.367 1.070" Properties=species:S:1:pos:R:3 pbc="T T T"
Pb 0.000 0.000 0.000
Pb 0.401 -5.365 -0.588
Hg -0.741 -8.314 0.633
Hg -0.496 -4.739 2.620
Hg -1.790 -2.782 -0.739
Hg -2.035 -6.357 -2.726
Pd -0.532 -3.981 -3.021
Pd 1.335 -6.748 1.845
Pd 0.568 -2.777 0.819
Pd 0.234 -7.952 -1.996
```



(3)
Entry from Alexandria via LeMat-Bulk: a geometry-optimized LiNiI structure (GGA-PBE).

Properties
formation energy (no corrections) = -0.26 eV per atom
ΔE to the lowest computed polymorph = 0.007 eV/atom
SG = P-1, No. 2

extended XYZ file:
```
6
Lattice="4.197 0.000 0.000 2.099 3.635 0.000 0.071 0.006 8.791" Properties=species:S:1:pos:R:3 pbc="T T T"
Ni 3.183 3.032 4.225
Ni 3.183 0.609 4.566
Li 1.085 1.820 2.991
Li 5.281 1.820 5.800
I 3.182 0.608 7.031
I 3.185 3.032 1.760
```